Cd2InS2 | Alexandria via LeMat-Bulk | PBE | optimized geometry; crystal system = tetragonal; space group = I4/mmm; formation energy from raw total energies = -0.1677 eV/atom
1.0
-4.063 1.272 -2.772
-0.522 -4.839 -1.456
-5.111 -2.608 1.638
S Cd In
2 2 1
direct
0.750 0.250 0.500 S
0.250 0.750 0.500 S
0.348 0.348 0.303 Cd
0.652 0.652 0.697 Cd
0.000 0.000 0.000 In